## Ba2ErCoO5 (PBE with a Hubbard U)

Data for a relaxed structure of Ba2ErCoO5.

**Total DFT energy (no corrections)**: -6.662 eV/atom
**Symmetry**: Cmc2_1 (36)

Unit cell a=7.6449 b=7.6449 c=11.8190 alpha=90.00 beta=90.00 gamma=153.23
With the nearest neighbours (Å) after each atom.
Atoms (fractional coordinates):
Ba1 0.0985 0.9015 0.5000  6 O 2.65-2.84
Ba2 0.1428 0.8572 0.1758  7 O 2.73-2.89
Ba3 0.8572 0.1428 0.6758  7 O 2.73-2.89
Ba4 0.9015 0.0985 0.0000  6 O 2.65-2.84
Er1 0.2005 0.7995 0.8838  5 O 2.14-2.35
Er2 0.7995 0.2005 0.3838  5 O 2.14-2.35
Co1 0.4440 0.5560 0.2629  4 O 1.80-2.00
Co2 0.5560 0.4440 0.7629  4 O 1.80-2.00
O1 0.0413 0.9587 0.8388  2 Co 2.00
O2 0.2892 0.7108 0.5027  2 Er 2.26
O3 0.3193 0.6807 0.2554  1 Co 1.86
O4 0.3417 0.6583 0.8504  1 Er 2.14
O5 0.4949 0.5051 0.6310  1 Co 1.80
O6 0.5051 0.4949 0.1310  1 Co 1.80
O7 0.6583 0.3417 0.3504  1 Er 2.14
O8 0.6807 0.3193 0.7554  1 Co 1.86
O9 0.7108 0.2892 0.0027  2 Er 2.26
O10 0.9587 0.0413 0.3388  2 Co 2.00